Entry 1:
# Ca4MgGa2 (PBE, optimized geometry)
# Magnetization (μB per atom): 0.00
# D(E_F) (states/eV per cell): 22.0
# Mass density (g cm⁻³): 2.65
# ΔH_f (0 K) (eV per atom): -0.276
data_Ca4MgGa2
_chemical_formula_sum 'Ca12 Mg3 Ga6'
_cell_length_a 5.2519
_cell_length_b 5.2519
_cell_length_c 25.5215
_cell_angle_alpha 90.00
_cell_angle_beta 90.00
_cell_angle_gamma 120.00
_symmetry_space_group_name_H-M 'R -3 m'
_symmetry_Int_Tables_number 166
_symmetry_space_group_name_Hall '-R 3 2"'
loop_
_atom_site_label
_atom_site_fract_x
_atom_site_fract_y
_atom_site_fract_z
Ca1 0.0000 0.0000 0.1177
Ca2 0.0000 0.0000 0.3705
Mg1 0.0000 0.0000 0.5000
Ga1 0.0000 0.0000 0.2436


Entry 2:
# Ba2NiGe (PBE, optimized geometry)
# Magnetization (μB per atom): 0.00
# D(E_F) (states/eV per cell): 18.3
# Mass density (g cm⁻³): 5.30
# ΔH_f (0 K) (eV per atom): 0.199
data_Ba2NiGe
_chemical_formula_sum 'Ba8 Ni4 Ge4'
_cell_length_a 8.6263
_cell_length_b 8.6263
_cell_length_c 6.8367
_cell_angle_alpha 90.00
_cell_angle_beta 90.00
_cell_angle_gamma 90.00
_symmetry_space_group_name_H-M 'I -4 2 d'
_symmetry_Int_Tables_number 122
_symmetry_space_group_name_Hall 'I -4 2bw'
loop_
_atom_site_label
_atom_site_fract_x
_atom_site_fract_y
_atom_site_fract_z
Ba1 0.2064 0.2500 0.1250
Ni1 0.0000 0.0000 0.0000
Ge1 0.0000 0.0000 0.5000


Entry 3:
# NiPtRh2 (PBE, optimized geometry)
# Magnetization (μB per atom): 0.33
# D(E_F) (states/eV per cell): 13.8
# Mass density (g cm⁻³): 13.68
# ΔH_f (0 K) (eV per atom): 0.004
data_NiPtRh2
_chemical_formula_sum 'Ni2 Pt2 Rh4'
_cell_length_a 8.9256
_cell_length_b 2.7244
_cell_length_c 4.6691
_cell_angle_alpha 90.00
_cell_angle_beta 100.72
_cell_angle_gamma 90.00
_symmetry_space_group_name_H-M 'C 1 m 1'
_symmetry_Int_Tables_number 8
loop_
_symmetry_equiv_pos_as_xyz
'x,y,z'
'x,-y,z'
'x+1/2,y+1/2,z'
'x+1/2,-y+1/2,z'
loop_
_atom_site_label
_atom_site_fract_x
_atom_site_fract_y
_atom_site_fract_z
Ni1 0.0000 0.0000 0.0000
Pt1 0.2513 0.0000 0.7580
Rh1 0.2465 0.5000 0.2515
Rh2 0.4969 0.0000 0.4906


Entry 4:
# ZrHg2 (PBE, optimized geometry)
# Magnetization (μB per atom): 0.00
# D(E_F) (states/eV per cell): 4.1
# Mass density (g cm⁻³): 9.79
# ΔH_f (0 K) (eV per atom): 0.078
data_ZrHg2
_chemical_formula_sum 'Zr1 Hg2'
_cell_length_a 5.3091
_cell_length_b 5.3091
_cell_length_c 2.9643
_cell_angle_alpha 90.00
_cell_angle_beta 90.00
_cell_angle_gamma 90.00
_symmetry_space_group_name_H-M 'P 4/m m m'
_symmetry_Int_Tables_number 123
_symmetry_space_group_name_Hall '-P 4 2'
loop_
_atom_site_label
_atom_site_fract_x
_atom_site_fract_y
_atom_site_fract_z
Zr1 0.0000 0.0000 0.0000
Hg1 0.0000 0.5000 0.5000